No. 1
! AcTb3Te4 | Alexandria via LeMat-Bulk | PBE-GGA | optimized geometry; values from VASP
! Energy relative to the elements, uncorrected = -10.8 eV/f.u.
! Mass density = 8.01 Mg/m³
&SYSTEM
  ibrav = 0, nat = 16, ntyp = 3
/
ATOMIC_SPECIES
Ac 227.00 Ac.upf
Tb 158.93 Tb.upf
Te 127.60 Te.upf
CELL_PARAMETERS angstrom
-3.870 0.125 -2.050
3.684 -0.542 -2.307
-2.550 -30.027 2.986
ATOMIC_POSITIONS angstrom
Ac -3.264 -22.618 0.104
Tb -0.408 -18.865 -0.377
Tb -1.652 -3.629 -1.784
Te 1.016 -2.089 -2.045
Tb -2.327 -11.580 -0.994
Ac 0.529 -7.827 -1.475
Te -3.751 -28.356 0.675
Te -2.099 -24.718 2.458
Tb -1.275 -15.014 1.493
Te -0.451 -5.310 0.528
Te 0.042 -13.564 -0.904
Tb 0.000 0.000 0.000
Tb -1.084 -26.816 0.413
Te -2.777 -16.881 -0.467
Te -1.726 -20.323 2.021
Te -0.824 -9.704 0.965

---

No. 2
! Ac2TbTmTe6 | Alexandria via LeMat-Bulk | PBE-GGA | optimized geometry; values from VASP
! Energy relative to the elements, uncorrected = -14.4 eV/f.u.
! Mass density = 6.48 Mg/m³
&SYSTEM
  ibrav = 0, nat = 10, ntyp = 4
/
ATOMIC_SPECIES
Te 127.60 Te.upf
Tb 158.93 Tb.upf
Ac 227.00 Ac.upf
Tm 168.93 Tm.upf
CELL_PARAMETERS angstrom
-4.660 -3.223 5.762
-0.105 -8.005 1.101
3.686 -3.180 6.867
ATOMIC_POSITIONS angstrom
Te -1.794 -4.257 5.404
Te 2.345 -6.372 6.292
Te -3.560 -8.634 7.974
Tb -1.941 -10.928 9.313
Te -0.390 -5.392 9.319
Te 0.633 -9.401 8.633
Ac -0.910 -7.244 6.543
Te -0.020 -9.121 3.957
Tm -1.410 -3.723 2.443
Ac 3.320 -3.219 6.549

---

No. 3
! Ac3TbTm3Te8 | Alexandria via LeMat-Bulk | PBE-GGA | optimized geometry; values from VASP
! Energy relative to the elements, uncorrected = -20.9 eV/f.u.
! Mass density = 7.66 Mg/m³
&SYSTEM
  ibrav = 0, nat = 15, ntyp = 4
/
ATOMIC_SPECIES
Te 127.60 Te.upf
Tm 168.93 Tm.upf
Ac 227.00 Ac.upf
Tb 158.93 Tb.upf
CELL_PARAMETERS angstrom
-3.264 0.039 -8.249
8.715 -1.011 1.317
-5.637 -6.803 2.199
ATOMIC_POSITIONS angstrom
Te 3.613 -5.942 0.836
Te -2.291 -5.352 -3.889
Tm 1.539 -3.907 1.758
Tm -0.093 -3.888 -2.367
Ac 0.000 0.000 0.000
Te 2.044 -5.923 -3.130
Ac 4.357 -0.505 0.659
Te 2.104 -2.423 -0.844
Tm -4.451 -3.382 -3.025
Te -3.800 -1.833 -5.569
Te -0.577 -5.456 0.203
Tb -2.819 -3.402 1.099
Te -2.230 -1.852 -1.603
Ac 2.725 -0.486 -3.466
Te 0.390 -2.319 -4.936

---

No. 4
! Ac3Tb3TmTe8 | Alexandria via LeMat-Bulk | PBE-GGA | optimized geometry; values from VASP
! Energy relative to the elements, uncorrected = -21.4 eV/f.u.
! Mass density = 7.44 Mg/m³
&SYSTEM
  ibrav = 0, nat = 15, ntyp = 4
/
ATOMIC_SPECIES
Te 127.60 Te.upf
Ac 227.00 Ac.upf
Tb 158.93 Tb.upf
Tm 168.93 Tm.upf
CELL_PARAMETERS angstrom
8.941 0.000 0.000
-4.470 7.743 -0.028
0.000 -5.135 7.591
ATOMIC_POSITIONS angstrom
Te 0.000 0.044 5.517
Te 6.684 -1.271 2.060
Te 4.470 2.563 2.046
Te 0.000 2.588 2.069
Ac -2.235 3.871 -0.014
Tb -2.235 1.304 3.782
Ac 0.000 0.000 0.000
Tb 2.235 1.304 3.782
Te 2.257 -1.271 2.060
Tm 0.000 -2.567 3.796
Te 2.214 3.879 5.504
Te -2.214 3.879 5.504
Ac 2.235 3.871 -0.014
Tb 4.470 -2.567 3.796
Te 4.470 0.020 5.495

---

No. 5
! Ac2TbYTe5 | Alexandria via LeMat-Bulk | PBE-GGA | optimized geometry; values from VASP
! Energy relative to the elements, uncorrected = -8.9 eV/f.u.
! Mass density = 6.21 Mg/m³
&SYSTEM
  ibrav = 0, nat = 9, ntyp = 4
/
ATOMIC_SPECIES
Tb 158.93 Tb.upf
Ac 227.00 Ac.upf
Y 88.91 Y.upf
Te 127.60 Te.upf
CELL_PARAMETERS angstrom
5.547 0.000 0.000
0.000 5.547 0.000
0.000 0.000 11.639
ATOMIC_POSITIONS angstrom
Tb 0.000 0.000 5.819
Ac 2.774 2.774 8.138
Y 0.000 0.000 0.000
Ac 2.774 2.774 3.500
Te 0.000 0.000 8.798
Te 0.000 0.000 2.841
Te 2.774 2.774 0.000
Te 0.000 2.774 5.819
Te 2.774 0.000 5.819

---

No. 6
! Ac3Tb3YTe8 | Alexandria via LeMat-Bulk | PBE-GGA | optimized geometry; values from VASP
! Energy relative to the elements, uncorrected = -21.6 eV/f.u.
! Mass density = 7.17 Mg/m³
&SYSTEM
  ibrav = 0, nat = 15, ntyp = 4
/
ATOMIC_SPECIES
Te 127.60 Te.upf
Tb 158.93 Tb.upf
Ac 227.00 Ac.upf
Y 88.91 Y.upf
CELL_PARAMETERS angstrom
8.958 0.000 0.000
-4.479 7.758 -0.028
0.000 -5.145 7.577
ATOMIC_POSITIONS angstrom
Te 0.000 2.593 2.065
Tb -2.240 1.307 3.775
Ac 2.240 3.879 -0.014
Te 4.479 0.020 5.484
Te -2.191 3.871 5.515
Te 2.191 3.871 5.515
Tb 2.240 1.307 3.775
Tb 4.479 -2.573 3.789
Y 0.000 -2.573 3.789
Ac -2.240 3.879 -0.014
Te 0.000 0.076 5.528
Ac 0.000 0.000 0.000
Te 4.479 2.537 2.021
Te 6.670 -1.258 2.035
Te 2.288 -1.258 2.035

---

No. 7
! AcTbYTe3 | Alexandria via LeMat-Bulk | PBE-GGA | optimized geometry; values from VASP
! Energy relative to the elements, uncorrected = -7.7 eV/f.u.
! Mass density = 7.00 Mg/m³
&SYSTEM
  ibrav = 0, nat = 12, ntyp = 4
/
ATOMIC_SPECIES
Te 127.60 Te.upf
Ac 227.00 Ac.upf
Y 88.91 Y.upf
Tb 158.93 Tb.upf
CELL_PARAMETERS angstrom
4.423 0.000 0.000
0.000 8.734 -0.417
0.000 -2.666 10.663
ATOMIC_POSITIONS angstrom
Te 1.106 2.361 8.298
Te 3.318 3.707 1.948
Ac 3.318 4.996 7.970
Te 3.318 0.729 4.804
Te 3.318 7.604 0.751
Ac 1.106 1.072 2.276
Y 1.106 -0.335 6.589
Y 3.318 6.403 3.657
Tb 3.318 0.553 9.514
Te 1.106 -1.536 9.495
Te 1.106 5.340 5.442
Tb 1.106 5.515 0.732

---

No. 8
! Ac3Tb2YTe6 | Alexandria via LeMat-Bulk | PBE-GGA | optimized geometry; values from VASP
! Energy relative to the elements, uncorrected = -16.8 eV/f.u.
! Mass density = 7.70 Mg/m³
&SYSTEM
  ibrav = 0, nat = 12, ntyp = 4
/
ATOMIC_SPECIES
Te 127.60 Te.upf
Ac 227.00 Ac.upf
Y 88.91 Y.upf
Tb 158.93 Tb.upf
CELL_PARAMETERS angstrom
-3.987 0.205 -1.928
-3.537 -5.440 6.736
0.997 9.446 4.039
ATOMIC_POSITIONS angstrom
Te -5.684 5.381 7.230
Ac -3.762 -2.618 2.404
Ac -3.279 -1.345 6.637
Te -2.657 2.643 0.679
Te -2.179 3.911 4.922
Te -4.348 0.300 3.925
Y -1.993 0.102 -0.964
Tb -5.016 2.838 5.578
Ac -3.248 5.556 2.211
Te -3.869 1.569 8.168
Te -0.843 -1.170 1.618
Tb -1.511 1.373 3.270